1.
A geometry-optimized FeCoH18C6N12 structure. Source: OQMD via LeMat-Bulk, functional GGA-PBE.

abc: 7.0583 7.0583 7.0583
angles: 97.68 97.68 97.68
Fractional coordinates of all 38 atoms:
H1 0.8018 0.3402 0.5567
H2 0.4326 0.3386 0.1503
H3 0.3402 0.5567 0.8018
C1 0.7614 0.0499 0.8778
Fe1 0.0000 0.0000 0.0000
H4 0.1503 0.4326 0.3386
N1 0.2561 0.5525 0.3638
H5 0.2687 0.5936 0.2314
C2 0.8778 0.7614 0.0499
H6 0.7313 0.4064 0.7686
Co1 0.5000 0.5000 0.5000
H7 0.8497 0.5674 0.6614
H8 0.5936 0.2314 0.2687
H9 0.7686 0.7313 0.4064
N2 0.2015 0.3888 0.9247
C3 0.0499 0.8778 0.7614
H10 0.6598 0.4433 0.1982
H11 0.4064 0.7686 0.7313
N3 0.7439 0.4475 0.6362
C4 0.2386 0.9501 0.1222
H12 0.4433 0.1982 0.6598
N4 0.7985 0.6112 0.0753
H13 0.1982 0.6598 0.4433
C5 0.1222 0.2386 0.9501
H14 0.3386 0.1503 0.4326
N5 0.9247 0.2015 0.3888
N6 0.6112 0.0753 0.7985
N7 0.3888 0.9247 0.2015
H15 0.6614 0.8497 0.5674
N8 0.4475 0.6362 0.7439
N9 0.0753 0.7985 0.6112
N10 0.6362 0.7439 0.4475
H16 0.2314 0.2687 0.5936
H17 0.5674 0.6614 0.8497
C6 0.9501 0.1222 0.2386
N11 0.3638 0.2561 0.5525
H18 0.5567 0.8018 0.3402
N12 0.5525 0.3638 0.2561

Results
DFT total energy: -6.2033 eV per atom
SG: R-3, No. 148



2.
A geometry-optimized DyY2Tm4Ni2S2 structure. Source: OQMD via LeMat-Bulk, functional GGA-PBE.

abc: 8.8422 8.8422 8.8422
angles: 155.54 67.43 118.26
Fractional coordinates of all 11 atoms:
Tm1 0.0124 0.8926 0.1198
S1 0.1410 0.1410 0.0000
Ni1 0.6498 0.4070 0.2428
Tm2 0.4164 0.1006 0.3159
Ni2 0.1641 0.4070 0.7572
Tm3 0.7847 0.1006 0.6841
Tm4 0.7728 0.8926 0.8802
Y1 0.1010 0.7363 0.3647
S2 0.7405 0.2405 0.5000
Y2 0.3717 0.7363 0.6354
Dy1 0.4918 0.4918 0.0000

Results
DFT total energy: -5.8460 eV per atom
SG: Imm2, No. 44



3.
A geometry-optimized K2LiPdF6 structure. Source: OQMD via LeMat-Bulk, functional GGA-PBE.

abc: 5.6550 5.6550 5.6550
angles: 59.84 59.84 59.84
Fractional coordinates of all 10 atoms:
Li1 0.5000 0.5000 0.5000
K1 0.2499 0.2499 0.2499
F1 0.7449 0.2535 0.7469
F2 0.7465 0.2531 0.2551
K2 0.7501 0.7501 0.7501
F3 0.2535 0.7469 0.7449
F4 0.2531 0.2551 0.7465
F5 0.2551 0.7465 0.2531
Pd1 0.0000 0.0000 0.0000
F6 0.7469 0.7449 0.2535

Results
SG: R-3, No. 148
Polymorph energy (0 for the lowest one): 0 meV/atom



4.
A geometry-optimized FeGe2As structure. Source: OQMD via LeMat-Bulk, functional GGA-PBE.

abc: 4.5378 4.5378 4.5378
angles: 60.00 60.00 60.00
Fractional coordinates of all 4 atoms:
Ge1 0.7500 0.7500 0.7500
Fe1 0.2500 0.2500 0.2500
As1 0.5000 0.5000 0.5000
Ge2 0.0000 0.0000 0.0000

Results
DFT total energy: -5.0975 eV per atom
SG: F-43m, No. 216



5.
A geometry-optimized BaThBe structure. Source: OQMD via LeMat-Bulk, functional GGA-PBE.

abc: 5.1140 5.1140 5.1140
angles: 60.00 60.00 60.00
Fractional coordinates of all 3 atoms:
Ba1 0.2500 0.2500 0.2500
Be1 0.0000 0.0000 0.0000
Th1 0.7500 0.7500 0.7500

Results
SG: F-43m, No. 216
Polymorph energy (0 for the lowest one): 0 meV/atom



6.
A geometry-optimized TaReAg2S6 structure. Source: OQMD via LeMat-Bulk, functional GGA-PBE.

abc: 6.6830 6.6830 6.6830
angles: 60.00 60.00 90.00
Fractional coordinates of all 10 atoms:
Re1 0.0000 0.0000 0.0000
S1 0.7536 0.7536 0.0000
S2 0.7535 0.2465 0.0000
Ta1 0.5000 0.5000 0.0000
S3 0.2464 0.2464 0.0000
S4 0.7535 0.7535 0.4929
S5 0.2465 0.2465 0.5071
Ag1 0.2500 0.7500 0.5000
S6 0.2464 0.7536 0.0000
Ag2 0.7500 0.2500 0.5000

Results
DFT total energy: -5.4158 eV per atom
SG: Fm-3m, No. 225



7.
A geometry-optimized Cs2Li14Tb3O14 structure. Source: OQMD via LeMat-Bulk, functional GGA-PBE.

abc: 7.4311 8.0190 8.5029
angles: 118.13 115.91 90.00
Fractional coordinates of all 33 atoms:
Tb1 0.7305 0.7305 0.4609
O1 0.1307 0.3186 0.2614
O2 0.8693 0.0572 0.7386
O3 0.6283 0.8519 0.2566
O4 0.1307 0.9428 0.2614
Tb2 0.2695 0.2695 0.5391
Li1 0.4053 0.2882 0.2648
Li2 0.1405 0.7118 0.7352
Li3 0.2336 0.5873 0.4673
O5 0.4553 0.7530 0.5060
Li4 0.8595 0.2882 0.2648
O6 0.5447 0.2470 0.4940
Li5 0.5947 0.7118 0.7352
O7 0.8693 0.6814 0.7386
Cs1 0.2307 0.5000 0.0000
Li6 0.7664 0.4127 0.5327
Li7 0.5947 0.0234 0.7352
Li8 0.1405 0.0234 0.7352
O8 0.2979 0.0000 0.0000
Li9 0.5000 0.8464 0.0000
Tb3 0.0000 0.0000 0.0000
Li10 0.4053 0.9766 0.2648
Li11 0.2336 0.8800 0.4673
O9 0.0506 0.7530 0.5060
O10 0.3717 0.1481 0.7434
O11 0.9494 0.2470 0.4940
O12 0.3717 0.5953 0.7434
Li12 0.7664 0.1200 0.5327
O13 0.6283 0.4047 0.2566
Cs2 0.7693 0.5000 0.0000
O14 0.7021 0.0000 0.0000
Li13 0.8595 0.9766 0.2648
Li14 0.5000 0.1536 0.0000

Results
DFT total energy: -5.4147 eV per atom
SG: Immm, No. 71



8.
A geometry-optimized AgSn2Br6 structure. Source: OQMD via LeMat-Bulk, functional GGA-PBE.

abc: 9.8247 6.8317 8.3030
angles: 90.00 90.94 90.00
Fractional coordinates of all 18 atoms:
Br1 0.9275 0.6832 0.1571
Br2 0.0725 0.3168 0.8429
Br3 0.5554 0.8551 0.6756
Br4 0.7504 0.1450 0.0426
Br5 0.7504 0.3550 0.5426
Sn1 0.2888 0.4727 0.0892
Br6 0.2496 0.8550 0.9574
Br7 0.5554 0.6449 0.1756
Sn2 0.7112 0.9727 0.4108
Ag1 0.0000 0.5000 0.5000
Br8 0.4446 0.3551 0.8244
Br9 0.4446 0.1449 0.3244
Sn3 0.7112 0.5273 0.9108
Sn4 0.2888 0.0273 0.5892
Ag2 0.0000 0.0000 0.0000
Br10 0.9275 0.8168 0.6571
Br11 0.2496 0.6450 0.4574
Br12 0.0725 0.1832 0.3429

Results
DFT total energy: -2.8675 eV per atom
SG: P2_1/c, No. 14



9.
A geometry-optimized LiPaNi structure. Source: OQMD via LeMat-Bulk, functional GGA-PBE.

abc: 4.3431 4.3431 4.3431
angles: 60.00 60.00 60.00
Fractional coordinates of all 3 atoms:
Ni1 0.0000 0.0000 0.0000
Pa1 0.2500 0.2500 0.2500
Li1 0.7500 0.7500 0.7500

Results
SG: F-43m, No. 216
Polymorph energy (0 for the lowest one): 0 meV/atom



10.
A geometry-optimized LaAl2Ag2 structure. Source: OQMD via LeMat-Bulk, functional GGA-PBE.

abc: 6.4449 6.4449 6.4449
angles: 140.53 140.53 57.06
Fractional coordinates of all 5 atoms:
Al1 0.7500 0.2500 0.5000
Ag1 0.3788 0.3788 0.0000
Al2 0.2500 0.7500 0.5000
La1 0.0000 0.0000 0.0000
Ag2 0.6212 0.6212 0.0000

Results
DFT total energy: -3.9514 eV per atom
SG: I4/mmm, No. 139



11.
A geometry-optimized NaNi2Te3 structure. Source: OQMD via LeMat-Bulk, functional GGA-PBE.

abc: 7.9784 3.8620 9.5666
angles: 90.00 109.74 90.00
Fractional coordinates of all 12 atoms:
Te1 0.2079 0.7500 0.1196
Ni1 0.4962 0.7500 0.3367
Ni2 0.4375 0.2500 0.1393
Te2 0.7921 0.2500 0.8804
Te3 0.6829 0.2500 0.4769
Te4 0.3367 0.2500 0.8513
Ni3 0.5038 0.2500 0.6633
Ni4 0.5625 0.7500 0.8607
Na1 0.0078 0.2500 0.2937
Te5 0.3171 0.7500 0.5231
Na2 0.9922 0.7500 0.7063
Te6 0.6633 0.7500 0.1487

Results
SG: P2_1/m, No. 11
Polymorph energy (0 for the lowest one): 0 meV/atom



12.
A geometry-optimized SmAsN2O structure. Source: OQMD via LeMat-Bulk, functional GGA-PBE.

abc: 5.3474 5.3474 5.4168
angles: 118.76 118.76 89.92
Fractional coordinates of all 10 atoms:
Sm1 0.2424 0.2424 0.9893
O1 0.2075 0.7925 0.0000
Sm2 0.7576 0.7576 0.0107
As1 0.0000 0.5000 0.5000
As2 0.5000 0.0000 0.5000
N1 0.7998 0.2002 0.5000
O2 0.7925 0.2075 0.0000
N2 0.2002 0.7998 0.5000
N3 0.3289 0.3289 0.5709
N4 0.6711 0.6711 0.4291

Results
DFT total energy: -6.9733 eV per atom
SG: C2/m, No. 12



Question: Number 9 is which compound?
Answer: LiPaNi



Question: What is the formula in the ninth record?
Answer: LiPaNi